Entry 1:
KLa2FeS | PBEsol | optimized geometry

The structure in POSCAR format:
```
KLa2FeS
1.0
4.7229 0.0000 0.0000
0.0000 5.1246 0.0000
0.0000 0.0000 5.1246
Fe La S K
1 2 1 1
Cartesian
0.0000 0.0000 0.0000
0.0000 0.0000 2.5623
0.0000 2.5623 0.0000
2.3614 0.0000 0.0000
2.3614 2.5623 2.5623
```

Summary:
- volume (Å³/cell) = 124.0
- uncorrected formation energy (kJ/mol of formula units) = -26

Entry 2:
CrPt2Se | PBEsol | optimized geometry

The structure in POSCAR format:
```
CrPt2Se
1.0
2.8831 0.0000 0.0000
0.0000 4.6070 0.0000
0.0000 0.0000 4.6179
Cr Se Pt
1 1 2
Cartesian
0.0000 2.3035 2.3089
1.4416 0.0000 2.3089
0.0000 0.0000 0.0000
1.4416 2.3035 0.0000
```

Summary:
- volume (Å³/cell) = 61.3
- uncorrected formation energy (kJ/mol of formula units) = 46

Copy entry 1 word for word.
KLa2FeS | PBEsol | optimized geometry

The structure in POSCAR format:
```
KLa2FeS
1.0
4.7229 0.0000 0.0000
0.0000 5.1246 0.0000
0.0000 0.0000 5.1246
Fe La S K
1 2 1 1
Cartesian
0.0000 0.0000 0.0000
0.0000 0.0000 2.5623
0.0000 2.5623 0.0000
2.3614 0.0000 0.0000
2.3614 2.5623 2.5623
```

Summary:
- volume (Å³/cell) = 124.0
- uncorrected formation energy (kJ/mol of formula units) = -26

> Look up the uncorrected formation energy of the second one.

46 kJ/mol of formula units

> The highest volume belongs to which entry?

KLa2FeS

> Which value of uncorrected formation energy does entry 2 give?

46 kJ/mol of formula units